Compound: Mn2AgCl8
Source: the Alexandria database
Functional: GGA-PBE
Structure: relaxed

```
Mn2AgCl8
1.0
6.389 0.689 0.523
0.918 7.699 0.350
0.918 2.410 7.320
Mn Ag Cl
2 1 8
Cartesian
5.797 8.613 6.535
2.429 2.186 1.658
0.000 0.000 0.000
2.492 4.691 6.965
5.734 2.827 5.551
3.589 8.574 6.505
4.637 2.225 1.688
2.492 7.971 2.642
5.734 6.107 1.228
6.177 6.931 5.259
2.049 3.868 2.935
```

formation energy (no corrections)	-714	meV per atom
ρ	2.39	Mg/m³
space-group type	C2/m (12)